Density functional theory data (PBE) for a relaxed PrAlAs crystal.

Computed properties:
total magnetic moment: 0.05 μB per cell
mass density: 5.00 Mg/m³
total DFT energy (no corrections): -4.704 eV/atom

Cell and atoms, written as POSCAR:
```
PrAlAs
1.0
6.859 0.000 0.000
0.000 6.859 0.000
0.000 0.000 6.859
Pr Al As
4 4 4
Cartesian
0.000 0.000 0.000
0.000 3.429 3.429
3.429 0.000 3.429
3.429 3.429 0.000
0.000 0.000 3.429
0.000 3.429 0.000
3.429 0.000 0.000
3.429 3.429 3.429
1.715 1.715 5.144
1.715 5.144 1.715
5.144 1.715 1.715
5.144 5.144 5.144
```



Density functional theory data (PBE) for a relaxed SmAlAs crystal.

Computed properties:
total magnetic moment: 0.00 μB per cell
mass density: 5.09 Mg/m³
total DFT energy (no corrections): -4.488 eV/atom

Cell and atoms, written as POSCAR:
```
SmAlAs
1.0
6.905 0.000 0.000
0.000 6.905 0.000
0.000 0.000 6.905
Sm Al As
4 4 4
Cartesian
0.000 0.000 0.000
0.000 3.453 3.453
3.453 0.000 3.453
3.453 3.453 0.000
1.726 1.726 5.179
1.726 5.179 1.726
5.179 1.726 1.726
5.179 5.179 5.179
1.726 1.726 1.726
1.726 5.179 5.179
5.179 1.726 5.179
5.179 5.179 1.726
```



Density functional theory data (PBE) for a relaxed SmAlAs crystal.

Computed properties:
total magnetic moment: 0.02 μB per cell
mass density: 5.49 Mg/m³
total DFT energy (no corrections): -4.515 eV/atom

Cell and atoms, written as POSCAR:
```
SmAlAs
1.0
6.731 0.000 0.000
0.000 6.731 0.000
0.000 0.000 6.731
Sm Al As
4 4 4
Cartesian
0.000 0.000 0.000
0.000 3.366 3.366
3.366 0.000 3.366
3.366 3.366 0.000
1.683 1.683 5.049
1.683 5.049 1.683
5.049 1.683 1.683
5.049 5.049 5.049
0.000 0.000 3.366
0.000 3.366 0.000
3.366 0.000 0.000
3.366 3.366 3.366
```



Density functional theory data (PBE) for a relaxed AlTcAs crystal.

Computed properties:
total magnetic moment: 0.02 μB per cell
excess energy over the best structure of this formula in the dataset: 0.0000 eV per atom
mass density: 6.31 Mg/m³
total DFT energy (no corrections): -6.159 eV/atom

Cell and atoms, written as POSCAR:
```
AlTcAs
1.0
5.949 0.000 0.000
0.000 5.949 0.000
0.000 0.000 5.949
Al Tc As
4 4 4
Cartesian
0.000 0.000 0.000
0.000 2.975 2.975
2.975 0.000 2.975
2.975 2.975 0.000
1.487 1.487 1.487
1.487 4.462 4.462
4.462 1.487 4.462
4.462 4.462 1.487
0.000 0.000 2.975
0.000 2.975 0.000
2.975 0.000 0.000
2.975 2.975 2.975
```



Density functional theory data (PBE) for a relaxed AlTc2As2 crystal.

Computed properties:
total magnetic moment: 0.01 μB per cell
mass density: 7.40 Mg/m³
total DFT energy (no corrections): -6.615 eV/atom

Cell and atoms, written as POSCAR:
```
AlTc2As2
1.0
3.751 0.000 0.000
0.000 3.751 0.000
0.000 0.000 11.891
Al Tc As
2 4 4
Cartesian
0.000 0.000 0.000
1.875 1.875 5.945
0.000 0.000 4.613
0.000 0.000 7.277
1.875 1.875 1.332
1.875 1.875 10.559
0.000 1.875 2.973
0.000 1.875 8.918
1.875 0.000 2.973
1.875 0.000 8.918
```



Density functional theory data (PBE) for a relaxed AlTcAs crystal.

Computed properties:
total magnetic moment: 0.06 μB per cell
excess energy over the best structure of this formula in the dataset: 0.1860 eV per atom
mass density: 6.47 Mg/m³
total DFT energy (no corrections): -5.973 eV/atom

Cell and atoms, written as POSCAR:
```
AlTcAs
1.0
5.898 0.000 0.000
0.000 5.898 0.000
0.000 0.000 5.898
Al Tc As
4 4 4
Cartesian
0.000 0.000 0.000
0.000 2.949 2.949
2.949 0.000 2.949
2.949 2.949 0.000
0.000 0.000 2.949
0.000 2.949 0.000
2.949 0.000 0.000
2.949 2.949 2.949
1.474 1.474 1.474
1.474 4.423 4.423
4.423 1.474 4.423
4.423 4.423 1.474
```



Density functional theory data (PBE) for a relaxed AlTcAs2 crystal.

Computed properties:
total magnetic moment: 0.00 μB per cell
mass density: 7.13 Mg/m³
total DFT energy (no corrections): -5.511 eV/atom

Cell and atoms, written as POSCAR:
```
AlTcAs2
1.0
6.351 0.000 0.000
0.000 6.351 0.000
0.000 0.000 6.351
Al Tc As
4 4 8
Cartesian
0.000 0.000 0.000
0.000 3.175 3.175
3.175 0.000 3.175
3.175 3.175 0.000
1.588 1.588 1.588
1.588 4.763 4.763
4.763 1.588 4.763
4.763 4.763 1.588
0.000 0.000 3.175
0.000 3.175 0.000
1.588 1.588 4.763
1.588 4.763 1.588
3.175 0.000 0.000
3.175 3.175 3.175
4.763 1.588 1.588
4.763 4.763 4.763
```



Density functional theory data (PBE) for a relaxed UAlAs crystal.

Computed properties:
total magnetic moment: 10.12 μB per cell
mass density: 8.23 Mg/m³
total DFT energy (no corrections): -6.436 eV/atom

Cell and atoms, written as POSCAR:
```
UAlAs
1.0
6.497 0.000 0.000
0.000 6.497 0.000
0.000 0.000 6.497
U Al As
4 4 4
Cartesian
0.000 0.000 0.000
0.000 3.249 3.249
3.249 0.000 3.249
3.249 3.249 0.000
0.000 0.000 3.249
0.000 3.249 0.000
3.249 0.000 0.000
3.249 3.249 3.249
1.624 1.624 4.873
1.624 4.873 1.624
4.873 1.624 1.624
4.873 4.873 4.873
```



Density functional theory data (PBE) for a relaxed UAlAs crystal.

Computed properties:
total magnetic moment: 8.05 μB per cell
mass density: 7.62 Mg/m³
total DFT energy (no corrections): -6.312 eV/atom

Cell and atoms, written as POSCAR:
```
UAlAs
1.0
6.668 0.000 0.000
0.000 6.668 0.000
0.000 0.000 6.668
U Al As
4 4 4
Cartesian
0.000 0.000 0.000
0.000 3.334 3.334
3.334 0.000 3.334
3.334 3.334 0.000
1.667 1.667 5.001
1.667 5.001 1.667
5.001 1.667 1.667
5.001 5.001 5.001
1.667 1.667 1.667
1.667 5.001 5.001
5.001 1.667 5.001
5.001 5.001 1.667
```



Density functional theory data (PBE) for a relaxed AlAsW crystal.

Computed properties:
total magnetic moment: 0.16 μB per cell
excess energy over the best structure of this formula in the dataset: 0.0562 eV per atom
mass density: 8.38 Mg/m³
total DFT energy (no corrections): -6.492 eV/atom

Cell and atoms, written as POSCAR:
```
AlAsW
1.0
6.096 0.000 0.000
0.000 6.096 0.000
0.000 0.000 6.096
Al As W
4 4 4
Cartesian
0.000 0.000 0.000
0.000 3.048 3.048
3.048 0.000 3.048
3.048 3.048 0.000
0.000 0.000 3.048
0.000 3.048 0.000
3.048 0.000 0.000
3.048 3.048 3.048
1.524 1.524 1.524
1.524 4.572 4.572
4.572 1.524 4.572
4.572 4.572 1.524
```



Density functional theory data (PBE) for a relaxed AlAsW crystal.

Computed properties:
total magnetic moment: 0.00 μB per cell
excess energy over the best structure of this formula in the dataset: 0.0000 eV per atom
mass density: 8.86 Mg/m³
total DFT energy (no corrections): -6.548 eV/atom

Cell and atoms, written as POSCAR:
```
AlAsW
1.0
5.982 0.000 0.000
0.000 5.982 0.000
0.000 0.000 5.982
Al As W
4 4 4
Cartesian
0.000 0.000 0.000
0.000 2.991 2.991
2.991 0.000 2.991
2.991 2.991 0.000
1.496 1.496 1.496
1.496 4.487 4.487
4.487 1.496 4.487
4.487 4.487 1.496
0.000 0.000 2.991
0.000 2.991 0.000
2.991 0.000 0.000
2.991 2.991 2.991
```



Density functional theory data (PBE) for a relaxed Al2ZnAs crystal.

Computed properties:
excess energy over the best structure of this formula in the dataset: 0.2064 eV per atom
mass density: 4.55 Mg/m³
total DFT energy (no corrections): -3.144 eV/atom

Cell and atoms, written as POSCAR:
```
Al2ZnAs
1.0
6.569 0.000 0.000
0.000 6.569 0.000
0.000 0.000 6.569
Al Zn As
8 4 4
Cartesian
0.000 0.000 0.000
0.000 3.285 3.285
1.642 1.642 1.642
1.642 4.927 4.927
3.285 0.000 3.285
3.285 3.285 0.000
4.927 1.642 4.927
4.927 4.927 1.642
1.642 1.642 4.927
1.642 4.927 1.642
4.927 1.642 1.642
4.927 4.927 4.927
0.000 0.000 3.285
0.000 3.285 0.000
3.285 0.000 0.000
3.285 3.285 3.285
```



Density functional theory data (PBE) for a relaxed AlZnAs crystal.

Computed properties:
excess energy over the best structure of this formula in the dataset: 0.0000 eV per atom
mass density: 4.68 Mg/m³
total DFT energy (no corrections): -3.164 eV/atom

Cell and atoms, written as POSCAR:
```
AlZnAs
1.0
6.191 0.000 0.000
0.000 6.191 0.000
0.000 0.000 6.191
Al Zn As
4 4 4
Cartesian
0.000 0.000 0.000
0.000 3.096 3.096
3.096 0.000 3.096
3.096 3.096 0.000
1.548 1.548 1.548
1.548 4.644 4.644
4.644 1.548 4.644
4.644 4.644 1.548
1.548 1.548 4.644
1.548 4.644 1.548
4.644 1.548 1.548
4.644 4.644 4.644
```



Density functional theory data (PBE) for a relaxed Al3ZnAs crystal.

Computed properties:
mass density: 4.24 Mg/m³
total DFT energy (no corrections): -3.313 eV/atom

Cell and atoms, written as POSCAR:
```
Al3ZnAs
1.0
2.338 -6.538 0.000
2.338 6.538 0.000
0.000 0.000 5.664
Al Zn As
6 2 2
Cartesian
2.338 5.031 4.248
2.338 2.504 2.848
2.338 2.504 5.648
2.338 -2.504 0.016
2.338 -2.504 2.816
2.338 -5.031 1.416
2.338 4.961 1.416
2.338 -4.961 4.248
2.338 0.040 1.416
2.338 -0.040 4.248
```



Density functional theory data (PBE) for a relaxed Al2ZnAs crystal.

Computed properties:
excess energy over the best structure of this formula in the dataset: 0.0000 eV per atom
mass density: 4.53 Mg/m³
total DFT energy (no corrections): -3.351 eV/atom

Cell and atoms, written as POSCAR:
```
Al2ZnAs
1.0
5.115 0.000 0.000
0.002 5.152 0.000
0.043 1.204 5.404
Al Zn As
4 2 2
Cartesian
1.298 1.262 2.349
1.324 5.020 5.349
3.835 1.336 0.055
3.861 5.094 3.055
1.302 3.840 2.746
3.858 2.516 2.658
1.321 2.428 5.124
3.838 3.928 0.280
```



Density functional theory data (PBE) for a relaxed AlZnAs2 crystal.

Computed properties:
mass density: 5.52 Mg/m³
total DFT energy (no corrections): -3.308 eV/atom

Cell and atoms, written as POSCAR:
```
AlZnAs2
1.0
6.630 0.000 0.000
0.000 6.630 0.000
0.000 0.000 6.630
Al Zn As
4 4 8
Cartesian
0.000 0.000 0.000
0.000 3.315 3.315
3.315 0.000 3.315
3.315 3.315 0.000
1.657 1.657 1.657
1.657 4.972 4.972
4.972 1.657 4.972
4.972 4.972 1.657
0.000 0.000 3.315
0.000 3.315 0.000
1.657 1.657 4.972
1.657 4.972 1.657
3.315 0.000 0.000
3.315 3.315 3.315
4.972 1.657 1.657
4.972 4.972 4.972
```



Density functional theory data (PBE) for a relaxed AlAu2 crystal.

Computed properties:
mass density: 13.76 Mg/m³
total DFT energy (no corrections): -3.746 eV/atom

Cell and atoms, written as POSCAR:
```
AlAu2
1.0
9.018 0.000 0.000
0.000 17.122 0.000
0.000 0.000 3.289
Al Au
10 20
Cartesian
0.000 0.000 0.000
0.204 3.450 0.000
0.248 10.255 0.000
4.261 1.694 1.644
4.305 12.011 1.644
4.509 8.561 1.644
4.713 5.110 1.644
4.756 15.428 1.644
8.770 6.867 0.000
8.814 13.671 0.000
1.214 15.313 1.644
1.276 5.360 1.644
1.399 8.325 1.644
1.500 12.205 1.644
1.573 1.643 1.644
2.935 10.203 0.000
3.009 3.644 0.000
3.110 16.886 0.000
3.233 13.921 0.000
3.295 6.752 0.000
5.723 10.370 0.000
5.784 3.201 0.000
5.908 0.235 0.000
6.009 13.477 0.000
6.082 6.918 0.000
7.444 15.479 1.644
7.518 4.916 1.644
7.619 8.796 1.644
7.742 11.762 1.644
7.804 1.809 1.644
```



Density functional theory data (PBE) for a relaxed Al2Au crystal.

Computed properties:
mass density: 7.51 Mg/m³
total DFT energy (no corrections): -4.010 eV/atom

Cell and atoms, written as POSCAR:
```
Al2Au
1.0
6.053 0.000 0.000
0.000 6.053 0.000
0.000 0.000 6.053
Al Au
8 4
Cartesian
1.513 1.513 1.513
1.513 1.513 4.540
1.513 4.540 1.513
1.513 4.540 4.540
4.540 1.513 1.513
4.540 1.513 4.540
4.540 4.540 1.513
4.540 4.540 4.540
0.000 0.000 0.000
0.000 3.027 3.027
3.027 0.000 3.027
3.027 3.027 0.000
```



Density functional theory data (PBE) for a relaxed Al3Au crystal.

Computed properties:
mass density: 6.71 Mg/m³
total DFT energy (no corrections): -3.636 eV/atom

Cell and atoms, written as POSCAR:
```
Al3Au
1.0
6.505 0.000 0.000
0.000 6.505 0.000
0.000 0.000 6.505
Al Au
12 4
Cartesian
0.000 0.000 0.000
0.000 3.252 3.252
1.626 1.626 1.626
1.626 1.626 4.878
1.626 4.878 1.626
1.626 4.878 4.878
3.252 0.000 3.252
3.252 3.252 0.000
4.878 1.626 1.626
4.878 1.626 4.878
4.878 4.878 1.626
4.878 4.878 4.878
0.000 0.000 3.252
0.000 3.252 0.000
3.252 0.000 0.000
3.252 3.252 3.252
```



Density functional theory data (PBE) for a relaxed Al9Au25 crystal.

Computed properties:
mass density: 14.63 Mg/m³
total DFT energy (no corrections): -3.648 eV/atom

Cell and atoms, written as POSCAR:
```
Al9Au25
1.0
7.809 0.000 0.000
-3.904 6.762 0.000
0.000 0.000 11.107
Al Au
9 25
Cartesian
0.000 0.000 0.000
-2.601 4.517 3.550
1.293 2.252 3.550
2.596 0.006 7.557
0.000 4.508 10.855
3.904 2.254 0.252
1.308 6.756 3.550
2.612 4.511 7.557
6.505 2.245 7.557
0.000 0.000 2.689
0.000 0.000 5.554
0.000 0.000 8.418
-2.477 4.638 0.766
-2.084 4.552 8.944
-0.950 2.609 4.850
1.126 2.299 0.766
-1.169 6.281 4.850
1.004 2.682 8.944
0.000 4.508 2.590
0.000 4.508 6.847
2.554 0.174 10.342
1.785 2.128 6.257
2.825 0.471 2.163
1.080 6.291 8.944
2.120 4.635 4.850
1.351 6.588 0.766
3.904 2.254 4.260
3.904 2.254 8.517
2.900 4.081 2.163
5.074 0.482 6.257
2.779 4.464 10.342
4.855 4.153 6.257
5.988 2.210 2.163
6.381 2.124 10.342
```